[1]
Co2RuCl: relaxed, GGA-PBE.

Structure (POSCAR):
```
Co2RuCl
1.0
7.9918 -0.0016 -0.0010
7.5047 2.7475 -0.0010
7.5047 1.3298 2.4043
Ru Co Cl
1 2 1
Direct
0.5027 0.5027 0.5027
0.9993 0.9993 0.9993
0.2527 0.2527 0.2527
0.7453 0.7453 0.7453
```

Output
**Symmetry**: No. 160
**Formation energy (no corrections)**: 1.79 eV/f.u.
**Mass density**: 7.99 g/cm³


[2]
YTmGa: relaxed, GGA-PBE.

Structure (POSCAR):
```
YTmGa
1.0
4.9374 0.0000 0.0000
2.4687 4.2759 0.0000
2.4687 1.4253 4.0313
Y Tm Ga
1 1 1
Direct
0.5000 0.5000 0.5000
0.0000 0.0000 0.0000
0.2500 0.2500 0.2500
```

Output
**Symmetry**: No. 216
**ΔH_f (0 K)**: -267 meV/atom
**Mass density**: 6.39 g/cm³


[3]
CrMoAs2Br: relaxed, GGA-PBE.

Structure (POSCAR):
```
CrMoAs2Br
1.0
4.8294 0.0000 0.0000
0.0000 4.8294 0.0000
0.0000 0.0000 5.4349
Cr Mo As Br
1 1 2 1
Direct
0.5000 0.5000 0.5000
0.0000 0.0000 0.0000
0.0000 0.5000 0.0000
0.5000 0.0000 0.0000
0.0000 0.0000 0.5000
```

Output
**Symmetry**: No. 123
**Formation energy (no corrections)**: 3.19 eV/f.u.
**Mass density**: 4.95 g/cm³


[4]
Hf3FePb: relaxed, GGA-PBE.

Structure (POSCAR):
```
Hf3FePb
1.0
-2.0916 1.1642 -4.7424
-3.6569 -5.7792 0.1941
-2.6045 5.7820 2.5681
Hf Fe Pb
6 2 2
Direct
0.2500 0.8275 0.1725
0.7500 0.1725 0.8275
0.2500 0.8275 0.6550
0.7500 0.1725 0.3450
0.2500 0.3450 0.1725
0.7500 0.6550 0.8275
0.0000 0.0000 0.0000
0.5000 0.0000 0.0000
0.2500 0.3335 0.6665
0.7500 0.6665 0.3335
```

Output
**Symmetry**: No. 194
**ΔH_f (0 K)**: -58 meV/atom
**Mass density**: 12.31 g/cm³


[5]
Sr2SbAu2: relaxed, GGA-PBE.

Structure (POSCAR):
```
Sr2SbAu2
1.0
8.4382 0.0000 0.0000
0.0000 8.4382 0.0000
0.0000 0.0000 3.9967
Sb Au Sr
2 4 4
Direct
0.0000 0.0000 0.0000
0.5000 0.5000 0.0000
0.3815 0.8815 0.0000
0.8815 0.6185 0.0000
0.6185 0.1185 0.0000
0.1185 0.3815 0.0000
0.1789 0.6789 0.5000
0.6789 0.8211 0.5000
0.8211 0.3211 0.5000
0.3211 0.1789 0.5000
```

Output
**Symmetry**: No. 127
**Formation energy (no corrections)**: -3.76 eV/f.u.
**Mass density**: 8.06 g/cm³


[6]
TbCuI6: relaxed, GGA-PBE.

Structure (POSCAR):
```
TbCuI6
1.0
-6.1336 7.0886 1.0376
-5.8417 4.9784 6.9065
2.1354 6.8101 3.0644
Tb Cu I
1 1 6
Direct
0.5000 0.5000 0.5000
0.0000 0.0000 0.0000
0.1132 0.5298 0.6742
0.7319 0.0851 0.8632
0.6235 0.2266 0.2880
0.2681 0.9149 0.1368
0.8868 0.4702 0.3258
0.3765 0.7734 0.7120
```

Output
**Symmetry**: No. 2
**Formation energy (no corrections)**: -4.91 eV/f.u.
**Mass density**: 4.37 g/cm³


| no. | size of the total moment (μB per formula unit) | N(E_F) (states/eV per atom) |
| --- | --- | --- |
| 1 | 3.28 | 1.1371 |
| 2 | 0.00 | 1.4761 |
| 3 | 5.35 | 0.7224 |
| 4 | 0.00 | 0.8359 |
| 5 | 0.00 | 0.4511 |
| 6 | 0.00 | 0.0072 |